Here is a relaxed structure of RbCu2SeF2 from the Alexandria database. Energies are from GGA-PBE.

Summary:
V	239.9	Å³ per cell
ΔE_f (raw)	-29.4	kcal/mol of atoms
M_tot	0.000	μB per cell
ρ	4.561	g/cm3

Cell: 5.0539 5.4781 9.2304 Å, 110.15 90.00 90.00°
Closest atoms and distances in Å follow each position.
Fractional positions:
Rb  0.7500  0.3250  0.5878  5 F 2.72-2.95
Rb  0.2500  0.6750  0.4122  5 F 2.72-2.95
Cu  0.5037  0.0846  0.1547  2 F 2.14-2.16, 1 Se 2.37
Cu  0.9963  0.0846  0.1547  2 F 2.14-2.16, 1 Se 2.37
Cu  0.0037  0.9154  0.8453  2 F 2.14-2.16, 1 Se 2.37
Cu  0.4963  0.9154  0.8453  2 F 2.14-2.16, 1 Se 2.37
Se  0.2500  0.2821  0.9969  4 Cu 2.37-2.45
Se  0.7500  0.7179  0.0031  4 Cu 2.37-2.45
F  0.2500  0.1229  0.3467  2 Cu 2.14
F  0.2500  0.6086  0.6961  2 Cu 2.16
F  0.7500  0.8771  0.6533  2 Cu 2.14
F  0.7500  0.3914  0.3039  2 Cu 2.16